Entry 1:
Mg2NpInAu4 | PBE | relaxed

Lattice parameters (Å, degrees): 4.6523 4.6523 9.3319 75.57 75.57 60.00
Last column: nearest neighbours and their distance in Å.
Element x y z (fractional)
Au 0.6119 0.6119 0.1642  3 Mg 2.85, 1 In 3.00, 3 Np 3.06
Au 0.3881 0.3881 0.8358  3 Mg 2.85, 1 In 3.00, 3 Np 3.06
Au 0.1192 0.1192 0.6425  3 Mg 2.80, 3 In 2.97
Au 0.8808 0.8808 0.3575  3 Mg 2.80, 3 In 2.97
In 0.5000 0.5000 0.5000  8 Au 2.97-3.00
Np 0.0000 0.0000 0.0000  8 Au 3.06-3.20
Mg 0.2435 0.2435 0.2695  6 Au 2.80-2.85
Mg 0.7565 0.7565 0.7305  6 Au 2.80-2.85

## Properties
As for the energy relative to the elements: -0.31 eV per atom. As for the volume: 20.9 A^3/atom.

***

Entry 2:
Hg5Te2I2 | PBE | relaxed

Lattice parameters (Å, degrees): 8.0809 8.0748 11.7436 110.11 110.13 90.00
Last column: nearest neighbours and their distance in Å.
Element x y z (fractional)
Te 0.0000 0.0485 0.0000  4 Hg 2.89
Te 0.5000 0.5485 0.0000  4 Hg 2.89
Te 0.7704 0.8379 0.5000  2 Hg 2.75
Te 0.2296 0.3379 0.5000  2 Hg 2.75
Hg 0.7737 0.3219 0.0449  2 Te 2.89
Hg 0.2288 0.7770 0.9551  2 Te 2.89
Hg 0.4074 0.0008 0.3584  1 Hg 2.90, 2 I 3.09-3.12
Hg 0.5489 0.1424 0.6416  1 Hg 2.90, 2 I 3.09-3.12
Hg 0.7712 0.8219 0.0449  2 Te 2.89
Hg 0.5926 0.6424 0.6416  1 Hg 2.90, 2 I 3.09-3.12
Hg 0.0134 0.6001 0.5000  2 Te 2.75
Hg 0.9866 0.1001 0.5000  2 Te 2.75
Hg 0.4511 0.5008 0.3584  1 Hg 2.90, 2 I 3.09-3.12
Hg 0.2263 0.2770 0.9551  2 Te 2.89
I 0.8751 0.4385 0.7696  2 Hg 3.09-3.12
I 0.6055 0.1689 0.2304  2 Hg 3.09-3.12
I 0.1249 0.6689 0.2304  2 Hg 3.09-3.12
I 0.3945 0.9385 0.7696  2 Hg 3.09-3.12

## Properties
For the uncorrected formation energy, the calculation gives -56 meV per atom. As for the volume: 37.2 A^3/atom.

***

Entry 3:
BaGe3Pt | PBE | relaxed

Lattice parameters (Å, degrees): 4.6234 4.6234 6.1475 112.06 112.06 90.06
Last column: nearest neighbours and their distance in Å.
Element x y z (fractional)
Pt 0.6489 0.6489 0.2973  5 Ge 2.55-2.58
Ba 0.0000 0.0000 0.0002  12 Ge 3.42-3.51, 5 Pt 3.61-3.66
Ge 0.4012 0.4012 0.8019  1 Pt 2.58, 4 Ge 2.77-2.78
Ge 0.2533 0.7523 0.5060  2 Pt 2.55, 2 Ge 2.77-2.78
Ge 0.7523 0.2533 0.5060  2 Pt 2.55, 2 Ge 2.77-2.78

## Properties
As for the energy relative to the elements: -0.64 eV per atom. As for the volume: 22.3 A^3/atom.

***

Entry 4:
Ca2ZnAs3Pt4 | PBE | relaxed

Lattice parameters (Å, degrees): 4.3640 4.3640 10.2194 90.00 90.00 90.00
Last column: nearest neighbours and their distance in Å.
Element x y z (fractional)
Pt 0.5000 0.0000 0.6292  3 As 2.45-2.55, 2 Zn 2.55
Pt 0.5000 0.5000 0.0000  4 As 2.56
Pt 0.0000 0.0000 0.0000  4 As 2.56
Pt 0.0000 0.5000 0.3708  3 As 2.45-2.55, 2 Zn 2.55
As 0.0000 0.0000 0.5000  4 Pt 2.55
As 0.0000 0.5000 0.1314  5 Pt 2.45-2.56
As 0.5000 0.0000 0.8686  5 Pt 2.45-2.56
Zn 0.5000 0.5000 0.5000  4 Pt 2.55
Ca 0.5000 0.0000 0.2480  6 As 3.31-3.38, 8 Pt 3.33-3.34, 2 Zn 3.38
Ca 0.0000 0.5000 0.7520  6 As 3.31-3.38, 8 Pt 3.33-3.34, 2 Zn 3.38

## Properties
As for the energy relative to the elements: -0.74 eV per atom. As for the volume: 19.5 A^3/atom.